1.
The following is a GGA-PBE calculation of a relaxed Cs3Re2Cl10O crystal, from the Alexandria database.

Results
SG ... I4/mmm (139)
D(E_F) ... 6.7 states/eV/cell

```
Cs3Re2Cl10O
1.0
-0.563 4.533 -9.397
-7.373 -3.315 -6.619
0.554 3.050 9.978
Cs Re Cl O
3 2 10 1
Cartesian
-1.988 4.096 -3.713
-5.393 0.172 -2.325
-3.968 0.609 -8.008
-7.119 1.093 -14.368
-0.817 0.125 -1.648
-6.053 0.929 -12.215
-1.883 0.289 -3.801
-0.636 1.481 2.624
-5.006 2.521 -5.152
-5.001 -1.717 -5.476
-1.195 2.669 -7.029
-6.746 2.788 -8.663
-2.376 1.748 -0.887
-2.935 2.936 -10.540
-6.741 -1.450 -8.987
0.000 0.000 0.000
```

***

2.
The following is a GGA-PBE calculation of a relaxed Cs2ReCl3O3 crystal, from the Alexandria database.

Results
SG ... Pnma (62)
D(E_F) ... 0.0 states/eV/cell

```
Cs2ReCl3O3
1.0
7.039 0.000 0.000
0.000 11.120 0.000
0.000 0.000 12.838
Cs Re Cl O
8 4 12 12
Cartesian
1.760 7.251 11.744
1.760 1.691 7.513
5.279 3.869 1.094
5.279 9.429 5.325
1.760 10.749 2.294
1.760 5.190 4.125
5.279 0.370 10.544
5.279 5.930 8.713
1.760 7.686 7.274
1.760 2.126 11.983
5.279 3.434 5.564
5.279 8.994 0.855
1.760 9.745 5.751
1.760 4.185 0.668
5.279 1.375 7.087
5.279 6.935 12.169
0.129 9.130 8.585
3.391 3.570 10.671
3.648 1.990 4.252
6.910 7.550 2.167
6.910 1.990 4.252
3.648 7.550 2.167
3.391 9.130 8.585
0.129 3.570 10.671
1.760 6.606 8.646
1.760 1.046 10.611
5.279 4.514 4.192
5.279 10.074 2.227
0.387 7.123 6.344
3.132 1.563 0.075
3.907 3.997 6.493
6.652 9.557 12.763
6.652 3.997 6.493
3.907 9.557 12.763
3.132 7.123 6.344
0.387 1.563 0.075
```

***

3.
The following is a GGA-PBE calculation of a relaxed Cs2ReCl5O crystal, from the Alexandria database.

Results
SG ... I4mm (107)

```
Cs2ReCl5O
1.0
-2.513 -3.221 6.131
4.102 -4.022 -4.613
5.149 5.226 0.676
Cs Re Cl O
2 1 5 1
Cartesian
3.610 1.301 2.428
3.087 -3.323 -0.216
9.053 1.178 -3.853
0.930 -1.176 1.873
5.774 -0.845 0.336
4.319 -1.952 -3.420
4.897 3.151 -0.502
2.065 0.269 -0.879
7.494 0.975 -3.189
```

***

no.,DFT total energy (eV/atom),formation energy from raw total energies (eV per atom)
1,-4.481,-1.30
2,-5.487,-1.65
3,-4.564,-1.41